Entry 1:
A relaxed structure of BaTlSeN2. Source: Alexandria via LeMat-Bulk, functional PBE-GGA.

Raw formation energy   0.70 eV per atom

```
BaTlSeN2
1.0
4.650 0.000 0.000
0.000 4.650 0.000
0.000 0.000 5.645
Ba Tl Se N
1 1 1 2
Direct
0.000 0.000 0.000
0.500 0.500 0.500
0.500 0.500 0.000
0.000 0.500 0.500
0.500 0.000 0.500
```

***

Entry 2:
A relaxed structure of TaRuCl. Source: Alexandria via LeMat-Bulk, functional PBE-GGA.

Raw formation energy   -0.06 eV per atom

```
TaRuCl
1.0
3.109 0.000 0.000
-1.554 2.692 0.000
0.000 0.000 6.508
Ta Ru Cl
1 1 1
Direct
0.000 0.000 0.000
0.333 0.667 0.720
0.667 0.333 0.291
```

***

Entry 3:
A relaxed structure of SrTa4Se. Source: Alexandria via LeMat-Bulk, functional PBE-GGA.

Raw formation energy   0.74 eV per atom

```
SrTa4Se
1.0
0.000 4.074 4.074
4.074 0.000 4.074
4.074 4.074 0.000
Sr Ta Se
1 4 1
Direct
0.000 0.000 0.000
0.108 0.631 0.631
0.631 0.108 0.631
0.631 0.631 0.108
0.631 0.631 0.631
0.250 0.250 0.250
```

***

Entry 4:
A relaxed structure of Li2AcErIn4. Source: Alexandria via LeMat-Bulk, functional PBE-GGA.

Formation enthalpy at 0 K   -379 meV/atom

```
Li2AcErIn4
1.0
2.418 1.396 10.398
-2.418 1.396 10.398
0.000 -2.792 10.398
Li Ac Er In
2 1 1 4
Direct
0.234 0.234 0.234
0.766 0.766 0.766
0.000 0.000 0.000
0.500 0.500 0.500
0.118 0.118 0.118
0.399 0.399 0.399
0.601 0.601 0.601
0.882 0.882 0.882
```

***

Entry 5:
A relaxed structure of LaGa2IrPd2. Source: Alexandria via LeMat-Bulk, functional PBE-GGA.

Formation enthalpy at 0 K   -544 meV/atom

```
LaGa2IrPd2
1.0
4.760 0.000 0.000
0.000 4.760 0.000
0.000 0.000 5.558
La Ga Ir Pd
1 2 1 2
Direct
0.000 0.000 0.000
0.000 0.500 0.500
0.500 0.000 0.500
0.000 0.000 0.500
0.500 0.500 0.246
0.500 0.500 0.754
```

***

Entry 6:
A relaxed structure of TlCrRu4. Source: Alexandria via LeMat-Bulk, functional PBE-GGA.

Formation enthalpy at 0 K   622 meV/atom

```
TlCrRu4
1.0
0.000 3.657 3.657
3.657 0.000 3.657
3.657 3.657 0.000
Tl Cr Ru
1 1 4
Direct
0.000 0.000 0.000
0.250 0.250 0.250
0.126 0.625 0.625
0.625 0.126 0.625
0.625 0.625 0.126
0.625 0.625 0.625
```

***

Entry 7:
A relaxed structure of AlV2Co3. Source: Alexandria via LeMat-Bulk, functional PBE-GGA.

Formation enthalpy at 0 K   -261 meV/atom

```
AlV2Co3
1.0
4.114 0.000 0.000
0.000 12.281 0.000
0.000 0.000 2.854
Al V Co
2 4 6
Direct
0.000 0.000 0.000
0.500 0.500 0.000
0.000 0.334 0.000
0.000 0.666 0.000
0.500 0.166 0.000
0.500 0.834 0.000
0.000 0.169 0.500
0.000 0.500 0.500
0.000 0.831 0.500
0.500 0.000 0.500
0.500 0.331 0.500
0.500 0.669 0.500
```

***

Entry 8:
A relaxed structure of Ba3Sr3Mg2. Source: Alexandria via LeMat-Bulk, functional PBE-GGA.

Formation enthalpy at 0 K   -23 meV/atom

```
Ba3Sr3Mg2
1.0
6.039 0.000 0.000
-0.002 6.053 0.000
-3.004 -3.024 10.808
Ba Sr Mg
3 3 2
Direct
0.000 0.000 0.000
0.350 0.849 0.699
0.650 0.151 0.301
0.154 0.654 0.308
0.500 0.500 0.000
0.846 0.346 0.692
0.247 0.248 0.498
0.753 0.752 0.502
```

***

Here are the calculated magnetic moment numbers, same order: 3.06, 0.00, 0.00, 0.00, 0.00, 0.84, 7.95, 0.00 (Bohr magnetons per cell).